# 1
Cs (PBEsol, optimized geometry); space group = No. 70; total magnetic moment = 0.00 μB per atom; energy above the most stable polymorph in this dataset = 57.5 meV/atom; formation enthalpy at 0 K = 0.06 eV/atom
1.0
-2.457 1.436 4.299
-9.075 2.025 -2.772
-3.701 -8.214 3.719
Cs
4
Direct
0.131 0.739 0.000
0.869 0.261 0.000
0.881 0.239 0.500
0.619 0.761 0.500

***

# 2
HgMoPb3 (PBEsol, optimized geometry); space group = No. 221; total magnetic moment = 0.88 μB per atom; formation enthalpy at 0 K = 1.38 eV/atom
1.0
5.548 0.000 0.000
0.000 5.548 0.000
0.000 0.000 5.548
Hg Pb Mo
1 3 1
Direct
0.000 0.000 0.000
0.000 0.000 0.500
0.500 0.000 0.000
0.000 0.500 0.000
0.500 0.500 0.500

***

# 3
Ti2CoP2O10 (PBEsol, optimized geometry); uncorrected formation energy = -2.38 eV/atom; space group = No. 14; total magnetic moment = 0.20 μB per atom
1.0
7.369 0.053 0.000
-3.581 6.362 0.000
0.000 0.000 7.304
O P Ti Co
20 4 4 2
Direct
0.275 0.185 0.502
0.725 0.815 0.498
0.052 0.420 0.760
0.437 0.591 0.740
0.948 0.580 0.240
0.275 0.685 0.998
0.722 0.496 0.662
0.722 0.996 0.838
0.563 0.409 0.260
0.753 0.673 0.010
0.278 0.504 0.338
0.753 0.173 0.490
0.725 0.315 0.002
0.437 0.091 0.760
0.563 0.909 0.240
0.247 0.827 0.510
0.052 0.920 0.740
0.278 0.004 0.162
0.948 0.080 0.260
0.247 0.327 0.990
0.749 0.497 0.127
0.251 0.003 0.627
0.749 0.997 0.373
0.251 0.503 0.873
0.240 0.216 0.227
0.240 0.716 0.273
0.760 0.784 0.773
0.760 0.284 0.727
0.500 0.500 0.500
0.500 0.000 0.000

***

# 4
Be2AlAs (PBEsol, optimized geometry); space group = No. 99; total magnetic moment = 0.00 μB per atom; energy above the most stable polymorph in this dataset = 0.0 meV/atom; formation enthalpy at 0 K = 0.32 eV/atom
1.0
2.828 0.000 0.000
0.000 2.828 0.000
0.000 0.000 6.625
Be As Al
2 1 1
Direct
0.500 0.500 0.207
0.000 0.000 0.037
0.500 0.500 0.814
0.000 0.000 0.442

***

# 5
AlSe2I (PBEsol, optimized geometry); uncorrected formation energy = -0.14 eV/atom; space group = No. 122; total magnetic moment = 0.00 μB per atom
1.0
-6.329 -0.444 1.206
3.306 -0.329 5.538
1.285 5.640 -2.872
Se Al I
4 2 2
Direct
0.916 0.541 0.125
0.584 0.375 0.459
0.084 0.209 0.625
0.416 0.875 0.791
0.000 0.500 0.500
0.500 0.250 0.750
0.500 0.750 0.250
0.000 0.000 0.000

***

# 6
SrHg2Cl (PBEsol, optimized geometry); uncorrected formation energy = -0.92 eV/atom; space group = No. 8; total magnetic moment = 0.00 μB per atom; energy above the most stable polymorph in this dataset = 0.0 meV/atom
1.0
-1.886 -0.227 -3.727
3.519 -3.839 0.801
-5.053 -1.479 2.646
Hg Sr Cl
2 1 1
Direct
0.018 0.037 0.068
0.752 0.504 0.193
0.507 0.015 0.589
0.222 0.444 0.651

***

# 7
ZrSiPt (PBEsol, optimized geometry); uncorrected formation energy = -1.24 eV/atom; space group = No. 62; total magnetic moment = 0.00 μB per atom
1.0
3.885 0.000 0.000
0.000 6.572 0.000
0.000 0.000 7.529
Pt Zr Si
4 4 4
Direct
0.750 0.145 0.564
0.250 0.855 0.436
0.750 0.645 0.936
0.250 0.355 0.064
0.250 0.975 0.822
0.750 0.025 0.178
0.750 0.525 0.322
0.250 0.475 0.678
0.750 0.764 0.622
0.750 0.264 0.878
0.250 0.736 0.122
0.250 0.236 0.378

***

# 8
Ba2LiCl (PBEsol, optimized geometry); uncorrected formation energy = -0.78 eV/atom; space group = No. 47; total magnetic moment = 0.00 μB per atom; energy above the most stable polymorph in this dataset = 0.0 meV/atom
1.0
4.151 0.000 0.000
0.000 4.356 0.080
0.000 -0.177 9.254
Ba Cl Li
2 1 1
Direct
0.000 0.999 0.244
0.000 0.001 0.756
0.500 0.000 0.500
0.500 0.500 0.000

***

Number 1: raw total energy -0.885 eV/atom. Number 2: raw total energy -3.482 eV/atom. Number 3: raw total energy -8.275 eV/atom. Number 4: raw total energy -3.979 eV/atom. Number 5: raw total energy -3.525 eV/atom. Number 6: raw total energy -2.170 eV/atom. Number 7: raw total energy -8.505 eV/atom. Number 8: raw total energy -2.848 eV/atom.